1.
Below is BeSiCl at its PBEsol-relaxed geometry, with properties calculated at the meta-GGA SCAN level.

Computed properties:
* N(E_F): 1.96 states/eV/cell
* density: 2.3 g/cm3
* E_form (uncorrected): 357.0 meV/atom
* total DFT energy (no corrections): -42.55 eV/cell
* E above lowest polymorph: 340 meV per atom
* symmetry: I4mm

Cell lengths 2.7877, 2.7877, 13.5982 Å; angles 90.00, 90.00, 90.00 degrees
Closest atoms and distances in Å follow each position.
Fractional positions:
Be1 0.0000 0.0000 0.0000  4 Cl 2.36, 4 Si 2.64
Be2 0.5000 0.5000 0.5000  4 Cl 2.36, 4 Si 2.64
Si1 0.0000 0.0000 0.3709  4 Be 2.64, 4 Si 2.79
Si2 0.5000 0.5000 0.8709  4 Be 2.64, 4 Si 2.79
Cl1 0.0000 0.0000 0.5955  4 Be 2.36
Cl2 0.5000 0.5000 0.0955  4 Be 2.36

2.
Below is YSbI2Br at its PBEsol-relaxed geometry, with properties calculated at the meta-GGA SCAN level.

Computed properties:
* N(E_F): 1.68 states/eV/cell
* density: 5.2 g/cm3
* E_form (uncorrected): 369.4 meV/atom
* total DFT energy (no corrections): -156.20 eV/cell
* symmetry: P4/mmm

Cell lengths 5.5370, 5.5370, 5.7153 Å; angles 90.00, 90.00, 90.00 degrees
Closest atoms and distances in Å follow each position.
Fractional positions:
Y1 0.0000 0.0000 0.0000  4 Sb 3.92, 8 I 3.98
Sb1 0.5000 0.5000 0.0000  2 Br 2.86
I1 0.0000 0.5000 0.5000  2 Br 2.77
I2 0.5000 0.0000 0.5000  2 Br 2.77
Br1 0.5000 0.5000 0.5000  4 I 2.77, 2 Sb 2.86

3.
Below is FeReS2N at its PBEsol-relaxed geometry, with properties calculated at the meta-GGA SCAN level.

Computed properties:
* N(E_F): 2.61 states/eV/cell
* density: 6.5 g/cm3
* E_form (uncorrected): 475.6 meV/atom
* total DFT energy (no corrections): -115.40 eV/cell
* symmetry: P4/mmm

Cell lengths 4.7100, 4.7100, 3.6938 Å; angles 90.00, 90.00, 90.00 degrees
Closest atoms and distances in Å follow each position.
Fractional positions:
Fe1 0.0000 0.0000 0.0000  8 S 2.99, 4 N 3.33
Re1 0.5000 0.5000 0.5000  2 N 1.85
S1 0.0000 0.5000 0.5000  2 Re 2.36
S2 0.5000 0.0000 0.5000  2 Re 2.36
N1 0.5000 0.5000 0.0000  2 Re 1.85

- density of number 3 (FeReS2N)?
  6.5 g/cm3

- Which of these has the highest E_form (uncorrected)?
  FeReS2N